This record from Alexandria describes a geometry-optimized N structure. The functional is PBE-GGA.

Summary:
E_form (uncorrected) = 3129.9 meV/atom
raw total energy = -5.20 eV/atom
magnetization = 0.000 μB per formula unit

a b c (Å): 4.1894 4.1894 4.1894
angles (deg): 90.00 90.00 90.00
Atoms (fractional coordinates):
N 0.0000 0.0000 0.0000
N 0.0000 0.5000 0.5000
N 0.5000 0.0000 0.5000
N 0.5000 0.5000 0.0000
N 0.2500 0.2500 0.2500
N 0.2500 0.7500 0.7500
N 0.7500 0.2500 0.7500
N 0.7500 0.7500 0.2500

This record from Alexandria describes a geometry-optimized La3TmH structure. The functional is PBE-GGA.

Summary:
raw total energy = -4.68 eV/atom
magnetization = 0.000 μB per formula unit

a b c (Å): 5.2191 5.2191 5.2191
angles (deg): 90.00 90.00 90.00
Atoms (fractional coordinates):
H 0.0000 0.0000 0.0000
Tm 0.5000 0.5000 0.5000
La 0.0000 0.5000 0.0000
La 0.0000 0.0000 0.5000
La 0.5000 0.0000 0.0000

This record from Alexandria describes a geometry-optimized KSrZr2 structure. The functional is PBE-GGA.

Summary:
raw total energy = -4.49 eV/atom
formation enthalpy at 0 K = 0.48 eV/atom
magnetization = 1.382 μB per formula unit

a b c (Å): 3.8368 3.8368 10.2151
angles (deg): 90.00 90.00 90.00
Each line ends with the local moment (μB).
Atoms (fractional coordinates):
K 0.0000 0.0000 0.4533  0.00
Sr 0.5000 0.5000 0.8195  0.04
Zr 0.0000 0.0000 0.0540  0.42
Zr 0.5000 0.5000 0.1733  0.42

This record from Alexandria describes a geometry-optimized ThMgAl structure. The functional is PBE-GGA.

Summary:
raw total energy = -4.42 eV/atom
formation enthalpy at 0 K = -0.16 eV/atom
magnetization = 0.000 μB per formula unit

a b c (Å): 3.5442 4.9115 4.9115
angles (deg): 120.00 90.00 90.00
Atoms (fractional coordinates):
Mg 0.1666 0.0000 0.0000
Al 0.1665 0.3333 0.6667
Th 0.6669 0.6667 0.3333

This record from Alexandria describes a geometry-optimized Tm2Mg2Sn7 structure. The functional is PBE-GGA.

Summary:
raw total energy = -3.82 eV/atom
formation enthalpy at 0 K = -0.17 eV/atom
magnetization = 0.000 μB per formula unit

a b c (Å): 7.9535 5.6327 7.9535
angles (deg): 115.64 101.28 64.36
Atoms (fractional coordinates):
Tm 0.8026 0.5000 0.8026
Tm 0.1974 0.5000 0.1974
Mg 0.7414 0.0009 0.2586
Mg 0.2586 0.9991 0.7414
Sn 0.0821 0.1865 0.4351
Sn 0.4351 0.8135 0.0821
Sn 0.9179 0.8135 0.5649
Sn 0.5649 0.1865 0.9179
Sn 0.0000 0.0000 0.0000
Sn 0.5703 0.6524 0.4297
Sn 0.4297 0.3476 0.5703

This record from Alexandria describes a geometry-optimized ScHg2AsS structure. The functional is PBE-GGA.

Summary:
E_form (uncorrected) = 82.1 meV/atom
raw total energy = -3.06 eV/atom
magnetization = 0.000 μB per formula unit

a b c (Å): 5.1330 5.2307 5.1330
angles (deg): 90.00 90.00 90.00
Atoms (fractional coordinates):
Sc 0.0000 0.5000 0.0000
As 0.0000 0.0000 0.0000
S 0.5000 0.5000 0.5000
Hg 0.0000 0.0000 0.5000
Hg 0.5000 0.0000 0.0000